Density functional theory data (PBE+U) for a geometry-optimized Na3Mn2P2C2O14 structure.

```
Na3Mn2P2C2O14
1.0
-3.528 2.444 -4.978
4.368 -5.623 -5.700
-7.376 -7.095 1.802
O Mn P Na C
28 4 4 6 4
Cartesian
-1.338 -0.424 -1.334
-6.587 -7.028 -2.536
-5.134 -7.738 -0.666
2.612 -4.139 -5.875
-1.326 -4.220 -1.539
-5.023 -3.851 -0.333
-3.992 -6.959 -5.396
-5.370 -2.704 -3.960
-7.396 -7.895 -5.180
-5.210 -6.054 -7.337
-2.544 -3.315 -3.481
-4.497 -8.454 -3.049
0.051 -3.246 -6.341
-2.569 -9.234 -4.833
-2.793 -5.804 -2.871
-0.640 -4.977 -3.878
-9.148 -6.135 -3.002
-3.743 -4.470 -6.005
-7.763 -4.467 -3.195
-3.967 -1.040 -4.044
1.227 -5.808 -5.682
-5.198 -9.850 -7.543
-1.167 -7.570 -4.917
0.860 -2.379 -3.696
-1.514 -6.423 -8.544
-2.039 -1.820 -5.828
-1.402 -2.536 -8.211
-5.897 -5.297 -4.999
-3.704 -2.751 -5.069
0.910 -4.101 -4.694
-7.447 -6.173 -4.182
-2.833 -7.523 -3.808
-0.878 -2.116 -6.819
-1.823 -4.580 -2.966
-4.713 -5.694 -5.911
-5.658 -8.158 -2.058
-3.743 -5.694 -0.417
-1.592 -1.013 -3.543
-4.944 -9.261 -5.334
0.016 -2.269 -1.139
-2.794 -4.580 -8.460
-6.552 -8.005 -7.738
-8.866 -4.894 -2.633
-5.132 -1.470 -3.553
2.329 -5.380 -6.244
-1.405 -8.804 -5.324
```

Summary:
As for the space group: No. 2. The calculated volume is 623 Å³/cell. As for the total magnetization: 0.304 μB per atom. For the offset from the most stable computed form, the calculation gives 6 meV per atom. As for the total energy: -6.93 eV per atom.